# 1
TbPmAg3 after structural relaxation, computed with PBE.

abc: 14.192 14.192 4.806
angles: 90.00 90.00 165.55
Sites, in units of the cell vectors:
1 Tb 0.209 0.791 0.750
2 Tb 0.791 0.209 0.250
3 Pm 0.075 0.925 0.250
4 Pm 0.925 0.075 0.750
5 Ag 0.323 0.677 0.750
6 Ag 0.379 0.621 0.250
7 Ag 0.476 0.524 0.250
8 Ag 0.524 0.476 0.750
9 Ag 0.621 0.379 0.750
10 Ag 0.677 0.323 0.250

Its formation energy is -0.2578 eV/atom.

---

# 2
Tb2PmAg3 after structural relaxation, computed with PBE.

abc: 3.660 3.660 11.127
angles: 90.00 90.00 90.00
Sites, in units of the cell vectors:
1 Tb 0.000 0.000 0.164
2 Tb 0.000 0.000 0.836
3 Pm 0.000 0.000 0.500
4 Ag 0.500 0.500 0.000
5 Ag 0.500 0.500 0.324
6 Ag 0.500 0.500 0.676

Its formation energy is -0.3025 eV/atom.

---

# 3
Tb2PmAg after structural relaxation, computed with PBE.

abc: 5.538 5.538 3.656
angles: 90.00 90.00 90.00
Sites, in units of the cell vectors:
1 Tb 0.000 0.500 0.000
2 Tb 0.500 0.000 0.000
3 Pm 0.000 0.000 0.500
4 Ag 0.500 0.500 0.500

Its formation energy is 0.0171 eV/atom.

---

# 4
Tb2PmAg2 after structural relaxation, computed with PBE.

abc: 13.676 13.676 5.328
angles: 90.00 90.00 164.56
Sites, in units of the cell vectors:
1 Tb 0.048 0.952 0.750
2 Tb 0.235 0.765 0.750
3 Tb 0.765 0.235 0.250
4 Tb 0.952 0.048 0.250
5 Pm 0.145 0.855 0.250
6 Pm 0.855 0.145 0.750
7 Ag 0.358 0.642 0.250
8 Ag 0.455 0.545 0.750
9 Ag 0.545 0.455 0.250
10 Ag 0.642 0.358 0.750

Its formation energy is -0.2218 eV/atom.

---

# 5
Tb3PmAg3 after structural relaxation, computed with PBE.

abc: 7.397 7.397 6.974
angles: 90.28 90.28 93.95
Sites, in units of the cell vectors:
1 Tb 0.185 0.815 0.000
2 Tb 0.257 0.743 0.500
3 Tb 0.381 0.381 0.166
4 Tb 0.619 0.619 0.834
5 Tb 0.743 0.257 0.500
6 Tb 0.815 0.185 0.000
7 Pm 0.255 0.255 0.660
8 Pm 0.745 0.745 0.340
9 Ag 0.009 0.476 0.231
10 Ag 0.076 0.076 0.309
11 Ag 0.476 0.009 0.231
12 Ag 0.524 0.991 0.769
13 Ag 0.924 0.924 0.691
14 Ag 0.991 0.524 0.769

Its formation energy is -0.1376 eV/atom.

---

# 6
TbPm4Ag after structural relaxation, computed with PBE.

abc: 3.646 3.646 14.157
angles: 90.00 90.00 90.00
Sites, in units of the cell vectors:
1 Tb 0.000 0.000 0.000
2 Pm 0.000 0.000 0.362
3 Pm 0.000 0.000 0.638
4 Pm 0.500 0.500 0.177
5 Pm 0.500 0.500 0.823
6 Ag 0.500 0.500 0.500

Its formation energy is -0.0695 eV/atom.

---

# 7
Tb2Pm2Ag after structural relaxation, computed with PBE.

abc: 11.750 11.750 11.750
angles: 162.29 162.29 25.15
Sites, in units of the cell vectors:
1 Tb 0.082 0.082 0.000
2 Tb 0.918 0.918 0.000
3 Pm 0.307 0.307 0.000
4 Pm 0.693 0.693 0.000
5 Ag 0.500 0.500 0.000

Its formation energy is -0.1014 eV/atom.

---

# 8
TbPm5Ag6 after structural relaxation, computed with PBE.

abc: 5.287 7.352 8.350
angles: 90.00 108.03 90.00
Sites, in units of the cell vectors:
1 Tb 0.000 0.000 0.000
2 Pm 0.000 0.500 0.000
3 Pm 0.332 0.500 0.665
4 Pm 0.334 0.000 0.668
5 Pm 0.666 0.000 0.332
6 Pm 0.668 0.500 0.335
7 Ag 0.164 0.247 0.328
8 Ag 0.164 0.753 0.328
9 Ag 0.500 0.244 0.000
10 Ag 0.500 0.756 0.000
11 Ag 0.836 0.247 0.672
12 Ag 0.836 0.753 0.672

Its formation energy is -0.2772 eV/atom.